1.
Below is an optimized crystal structure of KReW2Cl, with properties calculated at the GGA-PBE level.

abc: 4.560 4.556 4.560
angles: 90.00 90.00 90.00
Atoms (fractional coordinates):
Re1 0.000 0.500 0.000
K1 0.500 0.500 0.500
W1 0.000 0.000 0.500
W2 0.500 0.000 0.000
Cl1 0.000 0.000 0.000

Computed properties:
The value obtained for the volume is 18.94 Å³/atom. As for the spin magnetization: 0.21 μB per cell. As for the total energy: -6.152 eV/atom.



2.
Below is an optimized crystal structure of Rb2TbAgF6, with properties calculated at the GGA-PBE level.

abc: 6.535 6.624 9.061
angles: 90.00 89.78 90.00
Atoms (fractional coordinates):
Rb1 0.007 0.963 0.250
Rb2 0.507 0.537 0.750
Rb3 0.993 0.037 0.750
Rb4 0.493 0.463 0.250
Tb1 0.500 0.000 0.500
Tb2 0.000 0.500 0.000
Ag1 0.500 0.000 0.000
Ag2 0.000 0.500 0.500
F1 0.271 0.692 0.035
F2 0.771 0.808 0.535
F3 0.729 0.308 0.965
F4 0.229 0.192 0.465
F5 0.311 0.731 0.459
F6 0.811 0.769 0.959
F7 0.689 0.269 0.541
F8 0.189 0.231 0.041
F9 0.927 0.524 0.237
F10 0.427 0.976 0.737
F11 0.073 0.476 0.763
F12 0.573 0.024 0.263

Computed properties:
The value obtained for the volume is 19.61 Å³/atom. As for the spin magnetization: 0.19 μB per cell. As for the total energy: -5.026 eV/atom.



3.
Below is an optimized crystal structure of AlSnPb, with properties calculated at the GGA-PBE level.

abc: 3.352 3.352 8.127
angles: 90.00 90.00 120.00
Atoms (fractional coordinates):
Pb1 0.000 0.000 0.030
Sn1 0.333 0.667 0.628
Al1 0.667 0.333 0.341

Computed properties:
The value obtained for the volume is 26.36 Å³/atom. The value obtained for the distance to the lowest polymorph of the same formula is 49 meV/atom. The formation energy is 0.168 eV per atom. As for the spin magnetization: 0.00 μB per cell.



4.
Below is an optimized crystal structure of Pm2Sn2Bi, with properties calculated at the GGA-PBE level.

abc: 4.324 4.372 8.339
angles: 105.20 90.00 90.00
Atoms (fractional coordinates):
Pm1 0.500 0.632 0.263
Pm2 0.500 0.368 0.737
Sn1 0.000 0.191 0.382
Sn2 0.000 0.809 0.618
Bi1 0.000 0.000 0.000

Computed properties:
The value obtained for the volume is 30.42 Å³/atom. The formation energy is -0.583 eV per atom. As for the spin magnetization: 0.00 μB per cell.



5.
Below is an optimized crystal structure of MgHgMo, with properties calculated at the GGA-PBE level.

abc: 7.101 7.101 7.101
angles: 156.80 156.80 33.05
Atoms (fractional coordinates):
Hg1 0.002 0.002 0.000
Mg1 0.328 0.328 0.000
Mo1 0.670 0.670 0.000

Computed properties:
The value obtained for the volume is 18.51 Å³/atom. The value obtained for the distance to the lowest polymorph of the same formula is 0 meV/atom. The formation energy is 0.334 eV per atom. As for the spin magnetization: 0.00 μB per cell.



6.
Below is an optimized crystal structure of LaNd2PbC, with properties calculated at the GGA-PBE level.

abc: 5.203 5.161 5.161
angles: 90.00 90.00 90.00
Atoms (fractional coordinates):
La1 0.500 0.000 0.000
Nd1 0.000 0.000 0.500
Nd2 0.000 0.500 0.000
Pb1 0.500 0.500 0.500
C1 0.000 0.000 0.000

Computed properties:
The value obtained for the volume is 27.71 Å³/atom. The formation energy is -0.406 eV per atom. As for the spin magnetization: 0.00 μB per cell.



7.
Below is an optimized crystal structure of YB3O, with properties calculated at the GGA-PBE level.

abc: 4.827 4.827 4.827
angles: 90.00 90.00 90.00
Atoms (fractional coordinates):
Y1 0.000 0.000 0.000
B1 0.000 0.500 0.000
B2 0.000 0.000 0.500
B3 0.500 0.000 0.000
O1 0.500 0.500 0.500

Computed properties:
The value obtained for the volume is 22.50 Å³/atom. The value obtained for the distance to the lowest polymorph of the same formula is 1639 meV/atom. As for the spin magnetization: 0.00 μB per cell.



8.
Below is an optimized crystal structure of Tb6CoSe5, with properties calculated at the GGA-PBE level.

abc: 7.096 7.135 7.121
angles: 59.93 80.29 70.32
Atoms (fractional coordinates):
Co1 0.000 0.000 0.000
Tb1 0.769 0.076 0.306
Tb2 0.231 0.618 0.306
Tb3 0.236 0.228 0.000
Tb4 0.764 0.772 0.000
Tb5 0.769 0.382 0.694
Tb6 0.231 0.924 0.694
Se1 0.500 0.177 0.645
Se2 0.000 0.335 0.330
Se3 0.500 0.500 0.000
Se4 0.000 0.665 0.670
Se5 0.500 0.823 0.355

Computed properties:
The value obtained for the volume is 24.48 Å³/atom. As for the spin magnetization: 0.00 μB per cell. As for the total energy: -5.897 eV/atom.